# TmCuW2O8 (PBE with a Hubbard U, relaxed)
# * uncorrected energy: -88.40 eV per formula unit
data_TmCuW2O8
_symmetry_space_group_name_H-M 'P 1 2/c 1'
_symmetry_Int_Tables_number 13
_symmetry_space_group_name_Hall '-P 2yc'
_cell_length_a 5.0821
_cell_length_b 5.9700
_cell_length_c 10.9648
_cell_angle_alpha 90.00
_cell_angle_beta 115.14
_cell_angle_gamma 90.00
loop_
_atom_site_label
_atom_site_fract_x
_atom_site_fract_y
_atom_site_fract_z
Tm1 0.0000 0.1624 0.2500
Cu1 0.5000 0.2095 0.7500
W1 0.2386 0.3317 0.9902
O1 0.1641 0.4075 0.6102
O2 0.2190 0.1353 0.1148
O3 0.2682 0.1381 0.8647
O4 0.3363 0.3859 0.4014